No. 1
{"formula": "Cd3SnH", "functional": "PBE", "state": "optimized geometry", "lattice": [[-3.286, -1.998, 2.635], [0.280, -3.870, -2.586], [3.295, -1.664, 2.847]], "species": ["H", "Sn", "Cd", "Cd", "Cd"], "fractional_positions": [[0.000, 0.000, 0.000], [0.500, 0.500, 0.500], [0.000, 0.500, 0.000], [0.000, 0.000, 0.500], [0.500, 0.000, 0.000]], "magmom_total_mub_per_fu": 0.00, "e_tot_ha_per_atom": -0.0644}

***

No. 2
{"formula": "CdSnH", "functional": "PBE", "state": "optimized geometry", "lattice": [[3.117, 0.000, 0.000], [0.000, 3.955, 0.000], [-1.558, -1.977, 5.074]], "species": ["H", "Sn", "Cd"], "fractional_positions": [[0.895, 0.895, 0.789], [0.702, 0.702, 0.404], [0.403, 0.403, 0.807]], "e_above_lowest_polymorph_kj_per_mol_atoms": 24.7, "magmom_total_mub_per_fu": 0.00, "e_tot_ha_per_atom": -0.0869}